Entry 1:
# PBE Fe2AsOs, relaxed
# - space-group type = Pmmm (47)
# - E_form (eV/atom) = 0.23
data_Fe2AsOs
_chemical_formula_sum 'Fe2 As1 Os1'
_cell_length_a 2.995
_cell_length_b 4.186
_cell_length_c 4.212
_cell_angle_alpha 90.00
_cell_angle_beta 90.00
_cell_angle_gamma 90.00
_space_group_name_H-M_alt 'P 1'
_space_group_IT_number 1
_space_group_name_Hall 'P 1'
loop_
_atom_site_label
_atom_site_fract_x
_atom_site_fract_y
_atom_site_fract_z
Fe1 0.000 0.000 0.000
Fe2 0.500 0.500 0.000
As1 0.000 0.500 0.500
Os1 0.500 0.000 0.500

Entry 2:
# PBE KNi2Sb, relaxed
# - space-group type = P4mm (99)
# - formation energy (no corrections) (meV per atom) = 188.9
data_KNi2Sb
_chemical_formula_sum 'K1 Ni2 Sb1'
_cell_length_a 3.261
_cell_length_b 3.261
_cell_length_c 7.772
_cell_angle_alpha 90.00
_cell_angle_beta 90.00
_cell_angle_gamma 90.00
_space_group_name_H-M_alt 'P 1'
_space_group_IT_number 1
_space_group_name_Hall 'P 1'
loop_
_atom_site_label
_atom_site_fract_x
_atom_site_fract_y
_atom_site_fract_z
K1 0.000 0.000 0.000
Ni1 0.000 0.000 0.448
Ni2 0.500 0.500 0.313
Sb1 0.500 0.500 0.632

Entry 3:
# PBE TlBiNF2, relaxed
# - space-group type = P4/mmm (123)
# - formation energy (no corrections) (meV per atom) = -798.4
data_TlBiNF2
_chemical_formula_sum 'Tl1 Bi1 N1 F2'
_cell_length_a 4.744
_cell_length_b 4.744
_cell_length_c 4.248
_cell_angle_alpha 90.00
_cell_angle_beta 90.00
_cell_angle_gamma 90.00
_space_group_name_H-M_alt 'P 1'
_space_group_IT_number 1
_space_group_name_Hall 'P 1'
loop_
_atom_site_label
_atom_site_fract_x
_atom_site_fract_y
_atom_site_fract_z
Tl1 0.000 0.000 0.000
Bi1 0.500 0.500 0.500
N1 0.500 0.500 0.000
F1 0.000 0.500 0.500
F2 0.500 0.000 0.500

Entry 4:
# PBE Ho2Mg2Tl, relaxed
# - space-group type = C2/m (12)
# - E_form (eV/atom) = -0.15
data_Ho2Mg2Tl
_chemical_formula_sum 'Ho2 Mg2 Tl1'
_cell_length_a 5.157
_cell_length_b 5.157
_cell_length_c 6.486
_cell_angle_alpha 113.23
_cell_angle_beta 113.23
_cell_angle_gamma 60.16
_space_group_name_H-M_alt 'P 1'
_space_group_IT_number 1
_space_group_name_Hall 'P 1'
loop_
_atom_site_label
_atom_site_fract_x
_atom_site_fract_y
_atom_site_fract_z
Ho1 0.102 0.102 0.306
Ho2 0.898 0.898 0.694
Mg1 0.317 0.317 0.950
Mg2 0.683 0.683 0.050
Tl1 0.500 0.500 0.500

| no. | D(E_F) (states/eV/f.u.) |
| --- | --- |
| 1 | 2.778 |
| 2 | 4.363 |
| 3 | 0.138 |
| 4 | 6.276 |